{
  "formula": "ZrGe3C",
  "functional": "PBE-GGA",
  "state": "relaxed",
  "spacegroup": "Pm-3m",
  "total_energy_ry_per_atom": -0.33023,
  "e_form_ev_per_atom": 1.8318,
  "lattice_angstrom": [[5.218, 0.000, 0.000], [0.000, 5.218, 0.000], [0.000, 0.000, 5.218]],
  "species": ["Zr", "Ge", "Ge", "Ge", "C"],
  "fractional_positions": [[0.000, 0.000, 0.000], [0.000, 0.000, 0.500], [0.000, 0.500, 0.000], [0.500, 0.000, 0.000], [0.500, 0.500, 0.500]]
}